OsPbW2: single point on PBEsol structure, SCAN.

Structure (POSCAR):
```
OsPbW2
1.0
3.8689 0.0000 0.0000
0.0000 3.8689 0.0000
-1.9345 -1.9345 4.4340
Os Pb W
1 1 2
Direct
0.5000 0.5000 0.0000 Os
0.0000 0.0000 0.0000 Pb
0.7500 0.2500 0.5000 W
0.2500 0.7500 0.5000 W
```

Energy of formation from the pure elements: 0.895 eV/atom
Total DFT energy (no corrections): -70.8647 eV/atom
DOS at the Fermi energy: 2.5 states/eV per cell